[1]
This record from the Alexandria database describes a relaxed SiTc2Br crystal. The functional is PBE.

a b c (Å): 2.9310 3.9034 6.4671
angles (deg): 90.00 90.00 90.00
Fractional positions:
Br 0.0000 0.0000 0.4083
Si 0.5000 0.5000 0.8571
Tc 0.0000 0.0000 0.0203
Tc 0.5000 0.5000 0.2144

Results
The density is 6.822 Mg/m³. The energy above the most stable polymorph in this dataset is 0.221 eV/atom. The space-group type is No. 25. The total magnetization is 0.000 μB/f.u. Its formation energy without anion corrections is 0.3536 eV/atom.

[2]
This record from the Alexandria database describes a relaxed SiTcBr2 crystal. The functional is PBE.

a b c (Å): 6.6282 6.6282 6.6282
angles (deg): 151.72 138.77 50.75
Fractional positions:
Br 0.9324 0.9324 0.0000
Br 0.2268 0.7268 0.5000
Si 0.5973 0.5973 0.0000
Tc 0.7435 0.2435 0.5000

Results
The density is 5.245 Mg/m³. The energy above the most stable polymorph in this dataset is 0.716 eV/atom. The space-group type is No. 44. The total magnetization is 0.000 μB/f.u. Its formation energy without anion corrections is 0.4593 eV/atom.

- Which of these has the highest energy above the most stable polymorph in this dataset?
  SiTcBr2